No. 1
DFT (GGA-PBE) results for Ti3AuSe after structural relaxation.

Geometry as extended XYZ:
```
5
Lattice="-4.752 -1.190 -0.610 -0.096 -1.942 4.538 -1.333 4.380 1.847" Properties=species:S:1:pos:R:3 pbc="T T T"
Ti -2.376 -0.595 -0.305
Ti -0.048 -0.971 2.269
Ti -0.667 2.190 0.923
Au 0.000 0.000 0.000
Se -3.091 0.624 2.887
```

energy above the lowest structure with this stoichiometry: 562 meV/atom
raw total energy: -5.53 eV per atom
SG: Pm-3m (221)

No. 2
DFT (GGA-PBE) results for TiAuSe after structural relaxation.

Geometry as extended XYZ:
```
12
Lattice="3.443 0.000 0.000 -1.722 2.982 0.000 0.000 0.000 24.157" Properties=species:S:1:pos:R:3 pbc="T T T"
Ti 1.722 0.994 21.266
Ti 1.722 0.994 8.759
Ti 0.000 1.988 2.890
Ti 0.000 1.988 15.398
Se 0.000 1.988 10.349
Se 1.722 0.994 17.060
Se 0.000 1.988 7.096
Se 1.722 0.994 13.807
Au 1.722 0.994 1.079
Au 1.722 0.994 4.732
Au 0.000 1.988 19.425
Au 0.000 1.988 23.078
```

raw total energy: -5.40 eV per atom
SG: P-3m1 (164)

No. 3
DFT (GGA-PBE) results for TiAu3Se after structural relaxation.

Geometry as extended XYZ:
```
5
Lattice="-4.508 -1.913 -0.970 0.859 -3.679 3.264 -1.965 2.780 3.651" Properties=species:S:1:pos:R:3 pbc="T T T"
Au 0.430 -1.839 1.632
Au -0.983 1.390 1.826
Au -2.254 -0.956 -0.485
Se -2.807 -1.406 2.973
Ti 0.000 0.000 0.000
```

energy above the lowest structure with this stoichiometry: 134 meV/atom
raw total energy: -3.39 eV per atom
SG: Pm-3m (221)

No. 4
DFT (GGA-PBE) results for TiAu2Se after structural relaxation.

Geometry as extended XYZ:
```
8
Lattice="-5.406 -0.739 5.358 1.453 -7.496 0.431 -0.175 -3.660 4.776" Properties=species:S:1:pos:R:3 pbc="T T T"
Au 0.181 -5.693 2.140
Au -1.612 -5.843 5.753
Au -3.234 -2.313 4.590
Au -3.592 -9.940 8.647
Se -3.779 -4.258 6.514
Se 0.000 0.000 0.000
Ti -0.350 -7.636 4.051
Ti -1.977 -4.117 2.895
```

raw total energy: -4.68 eV per atom
SG: I-42d (122)

No. 5
DFT (GGA-PBE) results for TiAu3Se after structural relaxation.

Geometry as extended XYZ:
```
5
Lattice="4.952 0.000 0.000 0.000 4.952 0.000 0.000 0.000 4.952" Properties=species:S:1:pos:R:3 pbc="T T T"
Ti 2.476 2.476 2.476
Au 2.476 0.000 0.000
Au 0.000 0.000 2.476
Au 0.000 2.476 0.000
Se 0.000 0.000 0.000
```

energy above the lowest structure with this stoichiometry: 0 meV/atom
raw total energy: -3.53 eV per atom
SG: Pm-3m (221)

No. 6
DFT (GGA-PBE) results for TiAuSe3 after structural relaxation.

Geometry as extended XYZ:
```
10
Lattice="-3.616 -0.724 1.365 2.840 -1.359 6.802 0.961 7.510 0.863" Properties=species:S:1:pos:R:3 pbc="T T T"
Se -1.996 1.992 1.433
Se 0.558 0.200 1.583
Se -0.373 5.226 7.448
Se -1.179 3.639 4.470
Se 2.181 3.435 7.598
Se 1.364 1.788 4.561
Au -0.023 -0.403 5.390
Au 0.207 5.829 3.641
Ti -0.146 2.809 6.766
Ti 0.331 2.618 2.264
```

energy above the lowest structure with this stoichiometry: 0 meV/atom
raw total energy: -4.80 eV per atom
SG: C2/m (12)

No. 7
DFT (GGA-PBE) results for TiAuSe3 after structural relaxation.

Geometry as extended XYZ:
```
5
Lattice="-2.896 3.892 0.873 -1.795 -2.235 4.010 3.562 2.038 2.730" Properties=species:S:1:pos:R:3 pbc="T T T"
Se -1.448 1.946 0.437
Se 1.781 1.019 1.365
Se -0.897 -1.118 2.005
Au -0.564 1.847 3.807
Ti 0.000 0.000 0.000
```

energy above the lowest structure with this stoichiometry: 436 meV/atom
raw total energy: -4.36 eV per atom
SG: Pm-3m (221)

No. 8
DFT (GGA-PBE) results for Ti3AuSe after structural relaxation.

Geometry as extended XYZ:
```
5
Lattice="-2.222 -2.975 2.781 -0.317 -3.032 -3.497 4.060 -1.865 1.249" Properties=species:S:1:pos:R:3 pbc="T T T"
Ti -1.111 -1.487 1.390
Ti -0.159 -1.516 -1.748
Ti 2.030 -0.932 0.624
Se 0.000 0.000 0.000
Au 0.761 -3.936 0.266
```

energy above the lowest structure with this stoichiometry: 0 meV/atom
raw total energy: -6.10 eV per atom
SG: Pm-3m (221)

No. 9
DFT (GGA-PBE) results for TiZn2AuSe after structural relaxation.

Geometry as extended XYZ:
```
5
Lattice="-2.379 -3.279 -2.492 2.173 -3.646 2.723 -3.572 0.211 3.133" Properties=species:S:1:pos:R:3 pbc="T T T"
Zn -1.189 -1.639 -1.246
Zn -1.786 0.105 1.566
Au 1.086 -1.823 1.362
Se 0.000 0.000 0.000
Ti -1.889 -3.357 1.682
```

raw total energy: -2.63 eV per atom
SG: P4/mmm (123)

No. 10
DFT (GGA-PBE) results for Tl2AuSe3 after structural relaxation.

Geometry as extended XYZ:
```
12
Lattice="7.780 1.300 0.926 2.145 7.945 0.838 2.145 3.387 7.236" Properties=species:S:1:pos:R:3 pbc="T T T"
Se 4.090 5.966 4.304
Se 8.525 10.694 7.633
Se 7.980 6.667 4.696
Se 7.435 2.575 1.849
Se 3.545 1.939 1.367
Se 4.635 10.057 7.150
Tl 9.527 7.921 6.772
Tl 2.543 4.711 2.228
Tl 6.433 4.295 4.188
Tl 5.637 8.338 4.811
Au 4.090 3.716 7.462
Au 7.980 8.917 1.538
```

raw total energy: -3.25 eV per atom
SG: C2/c (15)

No. 11
DFT (GGA-PBE) results for Tl2AuSe after structural relaxation.

Geometry as extended XYZ:
```
4
Lattice="-3.112 -1.357 2.442 2.573 0.129 3.350 -0.498 5.807 2.591" Properties=species:S:1:pos:R:3 pbc="T T T"
Se -0.517 3.802 5.034
Tl 2.007 5.645 5.694
Tl -1.024 1.265 2.978
Au 1.608 2.772 3.589
```

energy above the lowest structure with this stoichiometry: 6 meV/atom
raw total energy: -3.01 eV per atom
SG: Pm (6)

No. 12
DFT (GGA-PBE) results for Tl2AuSe after structural relaxation.

Geometry as extended XYZ:
```
4
Lattice="5.083 0.014 -0.045 -1.376 4.893 -0.045 0.024 0.031 4.233" Properties=species:S:1:pos:R:3 pbc="T T T"
Tl 0.000 0.000 0.000
Tl 1.853 2.453 -0.045
Se -0.676 2.462 2.094
Au 2.553 0.023 2.094
```

energy above the lowest structure with this stoichiometry: 118 meV/atom
raw total energy: -2.90 eV per atom
SG: C2/m (12)